K2ZnSi2: relaxed, PBE.

a = 6.626 Å, b = 6.626 Å, c = 5.677 Å
α = 90.00°, β = 90.00°, γ = 90.00°
Space group P4/mbm (No. 127)
Inequivalent atoms, fractional coordinates:
1 K 0.178 0.322 0.000 x4
2 Zn 0.000 0.000 0.500 x2
3 Si 0.129 0.629 0.500 x4

Properties
- VASP energy (hartree per atom) = -0.0967
- spin magnetization (μB per formula unit) = 0.0
- density (g/cm³) = 2.7
- crystal system = tetragonal


CaMn2Pt: relaxed, PBE.

a = 3.017 Å, b = 4.698 Å, c = 5.216 Å
α = 90.00°, β = 99.01°, γ = 90.00°
Space group P2/m (No. 10)
Inequivalent atoms, fractional coordinates:
1 Ca 0.000 0.000 0.000 x1
2 Mn 0.264 0.500 0.640 x2
3 Pt 0.500 0.000 0.500 x1

Properties
- DFT formation energy (eV per atom) = 0.303
- spin magnetization (μB per formula unit) = 2.0
- density (g/cm³) = 7.8
- crystal system = monoclinic


Question: Among the records above, which one has the highest spin magnetization?
Answer: CaMn2Pt


Question: Look up the density of the second one.
Answer: 7.8 g/cm³


Copy entry 1 word for word.
K2ZnSi2: relaxed, PBE.

a = 6.626 Å, b = 6.626 Å, c = 5.677 Å
α = 90.00°, β = 90.00°, γ = 90.00°
Space group P4/mbm (No. 127)
Inequivalent atoms, fractional coordinates:
1 K 0.178 0.322 0.000 x4
2 Zn 0.000 0.000 0.500 x2
3 Si 0.129 0.629 0.500 x4

Properties
- VASP energy (hartree per atom) = -0.0967
- spin magnetization (μB per formula unit) = 0.0
- density (g/cm³) = 2.7
- crystal system = tetragonal


What did the second record say?
CaMn2Pt: relaxed, PBE.

a = 3.017 Å, b = 4.698 Å, c = 5.216 Å
α = 90.00°, β = 99.01°, γ = 90.00°
Space group P2/m (No. 10)
Inequivalent atoms, fractional coordinates:
1 Ca 0.000 0.000 0.000 x1
2 Mn 0.264 0.500 0.640 x2
3 Pt 0.500 0.000 0.500 x1

Properties
- DFT formation energy (eV per atom) = 0.303
- spin magnetization (μB per formula unit) = 2.0
- density (g/cm³) = 7.8
- crystal system = monoclinic